1.
# Y3Cd7Ag | Alexandria via LeMat-Bulk | PBE | relaxed
# Formation energy from the elements (kJ per mole of atoms): -12
data_Y3Cd7Ag
_chemical_formula_sum 'Y6 Cd14 Ag2'
_cell_length_a 3.805
_cell_length_b 11.378
_cell_length_c 13.227
_cell_angle_alpha 90.00
_cell_angle_beta 90.00
_cell_angle_gamma 99.63
_symmetry_space_group_name_H-M 'P 1'
_symmetry_Int_Tables_number 1
_symmetry_space_group_name_Hall 'P 1'
loop_
_atom_site_label
_atom_site_fract_x
_atom_site_fract_y
_atom_site_fract_z
Cd1 0.509 0.018 0.885
Cd2 0.607 0.215 0.250
Cd3 0.293 0.586 0.964
Cd4 0.293 0.586 0.536
Cd5 0.491 0.982 0.115
Cd6 0.393 0.785 0.750
Cd7 0.359 0.717 0.356
Cd8 0.509 0.018 0.615
Cd9 0.641 0.283 0.856
Cd10 0.359 0.717 0.144
Cd11 0.707 0.414 0.036
Cd12 0.641 0.283 0.644
Cd13 0.491 0.982 0.385
Cd14 0.707 0.414 0.464
Y1 0.905 0.809 0.544
Y2 0.244 0.487 0.750
Y3 0.905 0.809 0.956
Y4 0.756 0.513 0.250
Y5 0.095 0.191 0.456
Y6 0.095 0.191 0.044
Ag1 0.063 0.126 0.750
Ag2 0.937 0.874 0.250

---

2.
# PrGe4Rh2 | Alexandria via LeMat-Bulk | PBE | relaxed
# Formation energy from the elements (kJ per mole of atoms): -63
data_PrGe4Rh2
_chemical_formula_sum 'Pr4 Ge16 Rh8'
_cell_length_a 4.315
_cell_length_b 6.678
_cell_length_c 17.593
_cell_angle_alpha 90.00
_cell_angle_beta 90.00
_cell_angle_gamma 90.00
_symmetry_space_group_name_H-M 'P 1'
_symmetry_Int_Tables_number 1
_symmetry_space_group_name_Hall 'P 1'
loop_
_atom_site_label
_atom_site_fract_x
_atom_site_fract_y
_atom_site_fract_z
Ge1 0.250 0.360 0.032
Ge2 0.250 0.800 0.182
Ge3 0.250 0.140 0.532
Ge4 0.750 0.860 0.468
Ge5 0.250 0.700 0.682
Ge6 0.250 0.289 0.694
Ge7 0.750 0.711 0.306
Ge8 0.250 0.468 0.434
Ge9 0.750 0.968 0.066
Ge10 0.750 0.200 0.818
Ge11 0.750 0.640 0.968
Ge12 0.250 0.211 0.194
Ge13 0.750 0.300 0.318
Ge14 0.250 0.032 0.934
Ge15 0.750 0.789 0.806
Ge16 0.750 0.532 0.566
Rh1 0.750 0.253 0.469
Rh2 0.250 0.992 0.791
Rh3 0.750 0.008 0.209
Rh4 0.250 0.747 0.531
Rh5 0.250 0.753 0.031
Rh6 0.750 0.492 0.709
Rh7 0.750 0.247 0.969
Rh8 0.250 0.508 0.291
Pr1 0.750 0.006 0.641
Pr2 0.250 0.506 0.859
Pr3 0.750 0.494 0.141
Pr4 0.250 0.994 0.359

---

3.
# Pm4Te3H2 | Alexandria via LeMat-Bulk | PBE | relaxed
# Calculated total energy (eV for the cell shown): -89.183
data_Pm4Te3H2
_chemical_formula_sum 'Pm8 Te6 H4'
_cell_length_a 7.616
_cell_length_b 7.915
_cell_length_c 7.915
_cell_angle_alpha 79.74
_cell_angle_beta 81.10
_cell_angle_gamma 81.10
_symmetry_space_group_name_H-M 'P 1'
_symmetry_Int_Tables_number 1
_symmetry_space_group_name_Hall 'P 1'
loop_
_atom_site_label
_atom_site_fract_x
_atom_site_fract_y
_atom_site_fract_z
Te1 0.750 0.353 0.647
Te2 0.888 0.041 0.277
Te3 0.112 0.959 0.723
Te4 0.250 0.647 0.353
Te5 0.388 0.277 0.041
Te6 0.612 0.723 0.959
Pm1 0.369 0.591 0.719
Pm2 0.984 0.722 0.068
Pm3 0.631 0.409 0.281
Pm4 0.516 0.932 0.278
Pm5 0.016 0.278 0.932
Pm6 0.869 0.719 0.591
Pm7 0.484 0.068 0.722
Pm8 0.131 0.281 0.409
H1 0.063 0.563 0.828
H2 0.563 0.828 0.563
H3 0.437 0.172 0.437
H4 0.937 0.437 0.172

---

4.
# Th2Se2N | Alexandria via LeMat-Bulk | PBE | relaxed
# Energy relative to the lowest polymorph listed for this composition (meV per atom): 75.5
# Formation energy without anion corrections (eV per atom): -1.72
data_Th2Se2N
_chemical_formula_sum 'Th4 Se4 N2'
_cell_length_a 4.038
_cell_length_b 7.787
_cell_length_c 7.990
_cell_angle_alpha 90.00
_cell_angle_beta 104.64
_cell_angle_gamma 90.00
_symmetry_space_group_name_H-M 'P 1'
_symmetry_Int_Tables_number 1
_symmetry_space_group_name_Hall 'P 1'
loop_
_atom_site_label
_atom_site_fract_x
_atom_site_fract_y
_atom_site_fract_z
N1 0.411 0.073 0.822
N2 0.589 0.573 0.178
Se1 0.204 0.900 0.408
Se2 0.946 0.716 0.891
Se3 0.796 0.400 0.592
Se4 0.054 0.216 0.109
Th1 0.456 0.415 0.912
Th2 0.159 0.531 0.317
Th3 0.544 0.915 0.088
Th4 0.841 0.031 0.683

---

5.
# Zr2VAg | Alexandria via LeMat-Bulk | PBE | relaxed
# Formation energy from the elements (kJ per mole of atoms): 11
# Energy relative to the lowest polymorph listed for this composition (meV per atom): 96.9
data_Zr2VAg
_chemical_formula_sum 'Zr2 V1 Ag1'
_cell_length_a 3.322
_cell_length_b 4.850
_cell_length_c 4.850
_cell_angle_alpha 90.00
_cell_angle_beta 90.00
_cell_angle_gamma 90.00
_symmetry_space_group_name_H-M 'P 1'
_symmetry_Int_Tables_number 1
_symmetry_space_group_name_Hall 'P 1'
loop_
_atom_site_label
_atom_site_fract_x
_atom_site_fract_y
_atom_site_fract_z
Zr1 0.000 0.000 0.500
Zr2 0.000 0.500 0.000
V1 0.500 0.000 0.000
Ag1 0.500 0.500 0.500

---

6.
# Na3Tl4In | Alexandria via LeMat-Bulk | PBE | relaxed
# Formation energy from the elements (kJ per mole of atoms): -10
data_Na3Tl4In
_chemical_formula_sum 'Na6 Tl8 In2'
_cell_length_a 5.246
_cell_length_b 8.185
_cell_length_c 10.501
_cell_angle_alpha 90.00
_cell_angle_beta 90.00
_cell_angle_gamma 90.00
_symmetry_space_group_name_H-M 'P 1'
_symmetry_Int_Tables_number 1
_symmetry_space_group_name_Hall 'P 1'
loop_
_atom_site_label
_atom_site_fract_x
_atom_site_fract_y
_atom_site_fract_z
Na1 0.503 0.000 0.250
Na2 0.504 0.500 0.250
Na3 0.497 0.000 0.750
Na4 0.000 0.000 0.000
Na5 0.000 0.000 0.500
Na6 0.496 0.500 0.750
Tl1 0.004 0.260 0.250
Tl2 0.500 0.740 0.500
Tl3 0.500 0.740 0.000
Tl4 0.996 0.740 0.750
Tl5 0.500 0.260 0.000
Tl6 0.996 0.260 0.750
Tl7 0.004 0.740 0.250
Tl8 0.500 0.260 0.500
In1 0.000 0.500 0.000
In2 0.000 0.500 0.500

---

7.
# Zn2Te | Alexandria via LeMat-Bulk | PBE | relaxed
# Energy relative to the lowest polymorph listed for this composition (meV per atom): 199.8
# Formation energy without anion corrections (eV per atom): 0.08
data_Zn2Te
_chemical_formula_sum 'Zn2 Te1'
_cell_length_a 3.996
_cell_length_b 3.996
_cell_length_c 4.278
_cell_angle_alpha 90.00
_cell_angle_beta 90.00
_cell_angle_gamma 90.00
_symmetry_space_group_name_H-M 'P 1'
_symmetry_Int_Tables_number 1
_symmetry_space_group_name_Hall 'P 1'
loop_
_atom_site_label
_atom_site_fract_x
_atom_site_fract_y
_atom_site_fract_z
Zn1 0.500 0.000 0.500
Zn2 0.000 0.500 0.500
Te1 0.000 0.000 0.000

---

8.
# Gd2SiNi | Alexandria via LeMat-Bulk | PBE | relaxed
# Energy relative to the lowest polymorph listed for this composition (meV per atom): 18.6
# Formation energy without anion corrections (eV per atom): -0.43
data_Gd2SiNi
_chemical_formula_sum 'Gd2 Si1 Ni1'
_cell_length_a 3.433
_cell_length_b 3.433
_cell_length_c 7.138
_cell_angle_alpha 90.00
_cell_angle_beta 90.00
_cell_angle_gamma 90.00
_symmetry_space_group_name_H-M 'P 1'
_symmetry_Int_Tables_number 1
_symmetry_space_group_name_Hall 'P 1'
loop_
_atom_site_label
_atom_site_fract_x
_atom_site_fract_y
_atom_site_fract_z
Ni1 0.500 0.500 0.000
Si1 0.500 0.500 0.500
Gd1 0.000 0.000 0.759
Gd2 0.000 0.000 0.241

---

9.
# MnIn2Br | Alexandria via LeMat-Bulk | PBE | relaxed
# Energy relative to the lowest polymorph listed for this composition (meV per atom): 109.1
# Formation energy without anion corrections (eV per atom): 0.12
data_MnIn2Br
_chemical_formula_sum 'Mn1 In2 Br1'
_cell_length_a 7.270
_cell_length_b 7.270
_cell_length_c 7.270
_cell_angle_alpha 154.32
_cell_angle_beta 142.27
_cell_angle_gamma 46.20
_symmetry_space_group_name_H-M 'P 1'
_symmetry_Int_Tables_number 1
_symmetry_space_group_name_Hall 'P 1'
loop_
_atom_site_label
_atom_site_fract_x
_atom_site_fract_y
_atom_site_fract_z
Mn1 0.750 0.250 0.500
Br1 0.250 0.750 0.500
In1 0.941 0.941 0.000
In2 0.559 0.559 0.000

---

10.
# Zr5Fe4Tc | Alexandria via LeMat-Bulk | PBE | relaxed
# Formation energy from the elements (kJ per mole of atoms): -21
data_Zr5Fe4Tc
_chemical_formula_sum 'Zr5 Fe4 Tc1'
_cell_length_a 3.202
_cell_length_b 3.202
_cell_length_c 16.001
_cell_angle_alpha 90.00
_cell_angle_beta 90.00
_cell_angle_gamma 90.00
_symmetry_space_group_name_H-M 'P 1'
_symmetry_Int_Tables_number 1
_symmetry_space_group_name_Hall 'P 1'
loop_
_atom_site_label
_atom_site_fract_x
_atom_site_fract_y
_atom_site_fract_z
Zr1 0.500 0.500 0.103
Zr2 0.500 0.500 0.500
Zr3 0.500 0.500 0.897
Zr4 0.500 0.500 0.698
Zr5 0.500 0.500 0.302
Tc1 0.000 0.000 0.000
Fe1 0.000 0.000 0.598
Fe2 0.000 0.000 0.794
Fe3 0.000 0.000 0.402
Fe4 0.000 0.000 0.206

---

11.
# ZnCr2Ag2 | Alexandria via LeMat-Bulk | PBE | relaxed
# Formation energy from the elements (kJ per mole of atoms): 67
data_ZnCr2Ag2
_chemical_formula_sum 'Zn1 Cr2 Ag2'
_cell_length_a 6.429
_cell_length_b 6.429
_cell_length_c 6.429
_cell_angle_alpha 145.58
_cell_angle_beta 145.58
_cell_angle_gamma 49.47
_symmetry_space_group_name_H-M 'P 1'
_symmetry_Int_Tables_number 1
_symmetry_space_group_name_Hall 'P 1'
loop_
_atom_site_label
_atom_site_fract_x
_atom_site_fract_y
_atom_site_fract_z
Ag1 0.250 0.750 0.500
Ag2 0.750 0.250 0.500
Cr1 0.423 0.423 0.000
Cr2 0.577 0.577 0.000
Zn1 0.000 0.000 0.000

---

12.
# Eu2LuIn | Alexandria via LeMat-Bulk | PBE | relaxed
# Formation energy from the elements (kJ per mole of atoms): -11
# Energy relative to the lowest polymorph listed for this composition (meV per atom): 64.1
data_Eu2LuIn
_chemical_formula_sum 'Eu2 Lu1 In1'
_cell_length_a 4.145
_cell_length_b 4.145
_cell_length_c 7.499
_cell_angle_alpha 90.00
_cell_angle_beta 90.00
_cell_angle_gamma 90.00
_symmetry_space_group_name_H-M 'P 1'
_symmetry_Int_Tables_number 1
_symmetry_space_group_name_Hall 'P 1'
loop_
_atom_site_label
_atom_site_fract_x
_atom_site_fract_y
_atom_site_fract_z
In1 0.500 0.500 0.000
Eu1 0.000 0.000 0.763
Eu2 0.000 0.000 0.237
Lu1 0.500 0.500 0.500